Density functional theory data (GGA-PBE) for CrCuS2 after structural relaxation.

**Symmetry**: Fm-3m, No. 225
**Size of the total moment**: 0.00 μB per cell
**Energy relative to the elements, uncorrected**: 0.844 eV/f.u.

a b c (Å): 4.180 4.180 4.180
angles (deg): 60.00 60.00 60.00
Atoms (fractional coordinates):
1 Cr 0.000 0.000 0.000
2 Cu 0.500 0.500 0.500
3 S 0.250 0.250 0.250
4 S 0.750 0.750 0.750